Entry 1:
! PBE-GGA KLiCa4, relaxed; values from VASP
&SYSTEM
  ibrav = 0, nat = 6, ntyp = 3
/
ATOMIC_SPECIES
K 39.10 K.upf
Li 6.94 Li.upf
Ca 40.08 Ca.upf
ATOMIC_POSITIONS crystal
K 0.0000 0.0000 0.0000
Li 0.7500 0.7500 0.7500
Ca 0.3755 0.3755 0.3755
Ca 0.3755 0.3755 0.8736
Ca 0.3755 0.8736 0.3755
Ca 0.8736 0.3755 0.3755
CELL_PARAMETERS angstrom
0.0000 5.2390 5.2390
5.2390 0.0000 5.2390
5.2390 5.2390 0.0000
! Magnetic moment in μB/f.u.: 0.00
! Space-group type: F-43m
! Energy relative to the elements in eV/atom: 0.26
! E in eV/cell: -9.5

=====

Entry 2:
! PBE-GGA OsPdI2O, relaxed; values from VASP
&SYSTEM
  ibrav = 0, nat = 5, ntyp = 4
/
ATOMIC_SPECIES
Os 190.23 Os.upf
Pd 106.42 Pd.upf
I 126.90 I.upf
O 16.00 O.upf
ATOMIC_POSITIONS crystal
Os 0.0000 0.0000 0.0000
Pd 0.5000 0.5000 0.5000
I 0.0000 0.5000 0.0000
I 0.5000 0.0000 0.0000
O 0.0000 0.0000 0.5000
CELL_PARAMETERS angstrom
5.5161 0.0000 0.0000
0.0000 5.5161 0.0000
0.0000 0.0000 3.7133
! Magnetic moment in μB/f.u.: 0.00
! Space-group type: P4/mmm
! Energy relative to the elements, uncorrected in eV/atom: 0.21
! E in eV/cell: -23.4

=====

Entry 3:
! PBE-GGA NdSiHRh, relaxed; values from VASP
&SYSTEM
  ibrav = 0, nat = 8, ntyp = 4
/
ATOMIC_SPECIES
Nd 144.24 Nd.upf
Si 28.09 Si.upf
H 1.01 H.upf
Rh 102.91 Rh.upf
ATOMIC_POSITIONS crystal
Nd 0.2500 0.2500 0.1612
Nd 0.7500 0.7500 0.8388
Si 0.2500 0.2500 0.6660
Si 0.7500 0.7500 0.3340
H 0.2500 0.7500 0.0000
H 0.7500 0.2500 0.0000
Rh 0.2500 0.7500 0.5000
Rh 0.7500 0.2500 0.5000
CELL_PARAMETERS angstrom
4.0648 0.0000 0.0000
0.0000 4.0648 0.0000
0.0000 0.0000 7.7197
! Magnetic moment in μB/f.u.: 0.00
! Space-group type: P4/nmm
! E in eV/cell: -49.1

=====

Entry 4:
! PBE-GGA Cr2Si, relaxed; values from VASP
&SYSTEM
  ibrav = 0, nat = 6, ntyp = 2
/
ATOMIC_SPECIES
Cr 52.00 Cr.upf
Si 28.09 Si.upf
ATOMIC_POSITIONS crystal
Cr 0.0103 0.0103 0.2545
Cr 0.3350 0.3350 0.9284
Cr 0.6650 0.6650 0.0716
Cr 0.9897 0.9897 0.7455
Si 0.3378 0.3378 0.3984
Si 0.6622 0.6622 0.6016
CELL_PARAMETERS angstrom
4.5123 -1.4839 0.0000
4.5123 1.4839 0.0000
-2.0168 0.0000 5.2831
! Magnetic moment in μB/f.u.: 0.01
! Space-group type: C2/m
! Energy relative to the elements, uncorrected in eV/atom: -0.10
! E in eV/cell: -50.0

=====

Entry 5:
! PBE-GGA SrAs2Br, relaxed; values from VASP
&SYSTEM
  ibrav = 0, nat = 4, ntyp = 3
/
ATOMIC_SPECIES
Sr 87.62 Sr.upf
As 74.92 As.upf
Br 79.90 Br.upf
ATOMIC_POSITIONS crystal
Sr 0.0000 0.0000 0.0000
As 0.4786 0.5000 0.8109
As 0.5214 0.5000 0.1891
Br 0.0000 0.0000 0.5000
CELL_PARAMETERS angstrom
4.5264 0.0000 0.0000
0.0000 4.5705 0.0000
-0.6921 0.0000 6.0337
! Magnetic moment in μB/f.u.: 0.00
! Space-group type: P2/m
! Energy relative to the elements, uncorrected in eV/atom: -0.64
! E in eV/cell: -15.2

=====

Entry 6:
! PBE-GGA Rb3Sn8Hg3, relaxed; values from VASP
&SYSTEM
  ibrav = 0, nat = 14, ntyp = 3
/
ATOMIC_SPECIES
Rb 85.47 Rb.upf
Sn 118.71 Sn.upf
Hg 200.59 Hg.upf
ATOMIC_POSITIONS crystal
Rb 0.0000 0.0000 0.0000
Rb 0.3161 0.3161 0.0000
Rb 0.6839 0.6839 0.0000
Sn 0.0188 0.6529 0.3659
Sn 0.1163 0.8397 0.2766
Sn 0.2871 0.6529 0.6341
Sn 0.4368 0.1603 0.2766
Sn 0.5632 0.8397 0.7234
Sn 0.7129 0.3471 0.3659
Sn 0.8837 0.1603 0.7234
Sn 0.9812 0.3471 0.6341
Hg 0.3085 0.5000 0.8085
Hg 0.5000 0.0000 0.5000
Hg 0.6915 0.5000 0.1915
CELL_PARAMETERS angstrom
-2.4326 6.2306 7.7083
2.4326 -6.2306 7.7083
2.4326 6.2306 -7.7083
! Magnetic moment in μB/f.u.: 0.00
! Space-group type: Immm
! Energy relative to the elements in eV/atom: -0.12
! E in eV/cell: -37.5

=====

Entry 7:
! PBE-GGA LaFeMo2I, relaxed; values from VASP
&SYSTEM
  ibrav = 0, nat = 5, ntyp = 4
/
ATOMIC_SPECIES
La 138.91 La.upf
Fe 55.84 Fe.upf
Mo 95.94 Mo.upf
I 126.90 I.upf
ATOMIC_POSITIONS crystal
La 0.0000 0.0000 0.0000
Fe 0.5000 0.5000 0.0000
Mo 0.0000 0.5000 0.5000
Mo 0.5000 0.0000 0.5000
I 0.5000 0.5000 0.5000
CELL_PARAMETERS angstrom
5.0233 0.0000 0.0000
0.0000 5.0233 0.0000
0.0000 0.0000 4.6804
! Magnetic moment in μB/f.u.: 3.45
! Space-group type: P4/mmm
! Energy relative to the elements, uncorrected in eV/atom: 1.35
! E in eV/cell: -29.9

=====

Entry 8:
! PBE-GGA LiTbLuTc, relaxed; values from VASP
&SYSTEM
  ibrav = 0, nat = 4, ntyp = 4
/
ATOMIC_SPECIES
Li 6.94 Li.upf
Tb 158.93 Tb.upf
Lu 174.97 Lu.upf
Tc 98.00 Tc.upf
ATOMIC_POSITIONS crystal
Li 0.0000 0.0000 0.0000
Tb 0.7500 0.7500 0.7500
Lu 0.2500 0.2500 0.2500
Tc 0.5000 0.5000 0.5000
CELL_PARAMETERS angstrom
0.0000 3.4602 3.4602
3.4602 0.0000 3.4602
3.4602 3.4602 0.0000
! Magnetic moment in μB/f.u.: 0.00
! Space-group type: F-43m
! Energy relative to the elements in eV/atom: -0.05
! E in eV/cell: -21.6

=====

Entry 9:
! PBE-GGA NbZnOs3, relaxed; values from VASP
&SYSTEM
  ibrav = 0, nat = 5, ntyp = 3
/
ATOMIC_SPECIES
Nb 92.91 Nb.upf
Zn 65.41 Zn.upf
Os 190.23 Os.upf
ATOMIC_POSITIONS crystal
Nb 0.0000 0.0000 0.0000
Zn 0.5000 0.5000 0.5000
Os 0.0000 0.5000 0.5000
Os 0.5000 0.0000 0.5000
Os 0.5000 0.5000 0.0000
CELL_PARAMETERS angstrom
4.4262 0.0000 0.0000
0.0000 4.4262 0.0000
0.0000 0.0000 4.4262
! Magnetic moment in μB/f.u.: 0.00
! Space-group type: Pm-3m
! Energy relative to the elements in eV/atom: 1.60
! E in eV/cell: -37.0

=====

Entry 10:
! PBE-GGA BaAg3Ge, relaxed; values from VASP
&SYSTEM
  ibrav = 0, nat = 5, ntyp = 3
/
ATOMIC_SPECIES
Ba 137.33 Ba.upf
Ag 107.87 Ag.upf
Ge 72.64 Ge.upf
ATOMIC_POSITIONS crystal
Ba 0.0000 0.0000 0.0000
Ag 0.0000 0.5000 0.5000
Ag 0.5000 0.0000 0.5000
Ag 0.5000 0.5000 0.0000
Ge 0.5000 0.5000 0.5000
CELL_PARAMETERS angstrom
5.1035 0.0000 0.0000
0.0000 5.1035 0.0000
0.0000 0.0000 5.1035
! Magnetic moment in μB/f.u.: 0.00
! Space-group type: Pm-3m
! Energy relative to the elements in eV/atom: -0.09
! E in eV/cell: -15.6

=====

Entry 11:
! PBE-GGA Be3IrN, relaxed; values from VASP
&SYSTEM
  ibrav = 0, nat = 5, ntyp = 3
/
ATOMIC_SPECIES
Be 9.01 Be.upf
Ir 192.22 Ir.upf
N 14.01 N.upf
ATOMIC_POSITIONS crystal
Be 0.0000 0.0000 0.5000
Be 0.0000 0.5000 0.0000
Be 0.5000 0.0000 0.0000
Ir 0.5000 0.5000 0.5000
N 0.0000 0.0000 0.0000
CELL_PARAMETERS angstrom
3.5494 0.0000 0.0000
0.0000 3.5494 0.0000
0.0000 0.0000 3.5494
! Magnetic moment in μB/f.u.: 0.00
! Space-group type: Pm-3m
! Energy relative to the elements, uncorrected in eV/atom: -0.21
! E in eV/cell: -29.4

=====

Entry 12:
! PBE-GGA Tb5Y5Ho, relaxed; values from VASP
&SYSTEM
  ibrav = 0, nat = 11, ntyp = 3
/
ATOMIC_SPECIES
Tb 158.93 Tb.upf
Y 88.91 Y.upf
Ho 164.93 Ho.upf
ATOMIC_POSITIONS crystal
Tb 0.0000 0.0000 0.2353
Tb 0.0000 0.0000 0.7647
Tb 0.3375 0.1687 0.0000
Tb 0.8313 0.1687 0.0000
Tb 0.8313 0.6625 0.0000
Y 0.0000 0.0000 0.5000
Y 0.3333 0.6667 0.1811
Y 0.3333 0.6667 0.8189
Y 0.6667 0.3333 0.3407
Y 0.6667 0.3333 0.6593
Ho 0.3333 0.6667 0.5000
CELL_PARAMETERS angstrom
6.0967 0.0000 0.0000
-3.0484 5.2799 0.0000
0.0000 0.0000 11.4531
! Magnetic moment in μB/f.u.: 0.00
! Space-group type: P-6m2
! Energy relative to the elements in eV/atom: 0.31
! E in eV/cell: -56.7